1.
Entry from the Alexandria database: crystalline ScNiPb2 at its relaxed geometry (PBE).

The excess energy over the best structure of this formula in the dataset is 107 meV per atom. Its total energy is -4.9230 eV/atom. As for the energy of formation from the pure elements: -3.92 kJ per mole of atoms. Its volume is 264.9 Å³/cell.

It has space group R-3m (No. 166, hexagonal axes), with a = 4.4259 Å, b = 4.4259 Å, c = 15.6214 Å, α = 90.00°, β = 90.00° and γ = 120.00°. The inequivalent atoms are Sc at (0.0000, 0.0000, 0.0000), Ni at (0.0000, 0.0000, 0.5000) and Pb at (0.0000, 0.0000, 0.2339).



2.
Entry from the Alexandria database: crystalline ScNi2Pb at its relaxed geometry (PBE).

Its total energy is -5.5075 eV/atom. As for the energy of formation from the pure elements: -10.31 kJ per mole of atoms. Its volume is 69.8 Å³/cell.

It has space group P4mm (No. 99), with a = 3.310 Å, b = 3.310 Å, c = 6.370 Å, α = 90.00°, β = 90.00° and γ = 90.00°. The inequivalent atoms are Sc at (0.000, 0.000, 0.000), Ni at (0.000, 0.000, 0.393), Ni at (0.500, 0.500, 0.206) and Pb at (0.500, 0.500, 0.634).



3.
Entry from the Alexandria database: crystalline ScNiPb2 at its relaxed geometry (PBE).

The excess energy over the best structure of this formula in the dataset is 141 meV per atom. Its total energy is -4.8883 eV/atom. As for the energy of formation from the pure elements: -0.57 kJ per mole of atoms. Its volume is 89.8 Å³/cell.

It has space group P2/m (No. 10), with a = 3.507 Å, b = 4.335 Å, c = 5.966 Å, α = 90.00°, β = 98.08° and γ = 90.00°. The inequivalent atoms are Sc at (0.000, 0.000, 0.000), Ni at (0.500, 0.000, 0.500) and Pb at (0.332, 0.500, 0.733).



4.
Entry from the Alexandria database: crystalline ScNi2Pb at its relaxed geometry (PBE).

Its total energy is -5.5471 eV/atom. As for the energy of formation from the pure elements: -14.13 kJ per mole of atoms. Its volume is 134.7 Å³/cell.

It has space group Cm (No. 8), with a = 9.192 Å, b = 3.507 Å, c = 4.385 Å, α = 90.00°, β = 107.70° and γ = 90.00°. The inequivalent atoms are Sc at (0.000, 0.000, 0.000), Ni at (0.248, 0.500, 0.188), Ni at (0.489, 0.000, 0.462) and Pb at (0.233, 0.000, 0.664).



5.
Entry from the Alexandria database: crystalline ScNiPb2 at its relaxed geometry (PBE).

The excess energy over the best structure of this formula in the dataset is 166 meV per atom. Its total energy is -4.8640 eV/atom. As for the energy of formation from the pure elements: 1.78 kJ per mole of atoms. Its volume is 174.8 Å³/cell.

It has space group Cmmm (No. 65), with a = 4.427 Å, b = 5.326 Å, c = 7.413 Å, α = 90.00°, β = 90.00° and γ = 90.00°. The inequivalent atoms are Sc at (0.000, 0.000, 0.000), Ni at (0.000, 0.000, 0.500) and Pb at (0.000, 0.500, 0.283).



6.
Entry from the Alexandria database: crystalline Sc2Ni4Pb at its relaxed geometry (PBE).

Its total energy is -5.0794 eV/atom. As for the energy of formation from the pure elements: 54.32 kJ per mole of atoms. Its volume is 287.4 Å³/cell.

It has space group I4/mmm (No. 139), with a = 4.674 Å, b = 4.674 Å, c = 13.153 Å, α = 90.00°, β = 90.00° and γ = 90.00°. The inequivalent atoms are Sc at (0.000, 0.000, 0.126), Ni at (0.000, 0.000, 0.300), Ni at (0.000, 0.500, 0.000) and Pb at (0.000, 0.000, 0.500).



7.
Entry from the Alexandria database: crystalline ScNiPb2 at its relaxed geometry (PBE).

The excess energy over the best structure of this formula in the dataset is 211 meV per atom. Its total energy is -4.8184 eV/atom. As for the energy of formation from the pure elements: 6.18 kJ per mole of atoms. Its volume is 348.1 Å³/cell.

It has space group Fm-3m (No. 225), with a = 7.034 Å, b = 7.034 Å, c = 7.034 Å, α = 90.00°, β = 90.00° and γ = 90.00°. The inequivalent atoms are Sc at (0.000, 0.000, 0.000), Ni at (0.000, 0.000, 0.500) and Pb at (0.250, 0.250, 0.250).



8.
Entry from the Alexandria database: crystalline ScNi2Pb at its relaxed geometry (PBE).

Its total energy is -5.5809 eV/atom. As for the energy of formation from the pure elements: -17.39 kJ per mole of atoms. Its volume is 66.6 Å³/cell.

It has space group P4/mmm (No. 123), with a = 4.346 Å, b = 4.346 Å, c = 3.526 Å, α = 90.00°, β = 90.00° and γ = 90.00°. The inequivalent atoms are Sc at (0.000, 0.000, 0.000), Ni at (0.000, 0.500, 0.500) and Pb at (0.500, 0.500, 0.000).



9.
Entry from the Alexandria database: crystalline ScNi2Pb2 at its relaxed geometry (PBE).

The excess energy over the best structure of this formula in the dataset is 0 meV per atom. Its total energy is -5.1121 eV/atom. As for the energy of formation from the pure elements: -4.82 kJ per mole of atoms. Its volume is 193.4 Å³/cell.

It has space group P4/mbm (No. 127), with a = 6.835 Å, b = 6.835 Å, c = 4.141 Å, α = 90.00°, β = 90.00° and γ = 90.00°. The inequivalent atoms are Sc at (0.000, 0.000, 0.000), Ni at (0.125, 0.375, 0.000) and Pb at (0.179, 0.679, 0.500).



10.
Entry from the Alexandria database: crystalline ScNiPb2 at its relaxed geometry (PBE).

The excess energy over the best structure of this formula in the dataset is 133 meV per atom. Its total energy is -4.8971 eV/atom. As for the energy of formation from the pure elements: -1.42 kJ per mole of atoms. Its volume is 174.2 Å³/cell.

It has space group I-4m2 (No. 119), with a = 4.217 Å, b = 4.217 Å, c = 9.792 Å, α = 90.00°, β = 90.00° and γ = 90.00°. The inequivalent atoms are Sc at (0.000, 0.000, 0.000), Ni at (0.000, 0.500, 0.250), Pb at (0.000, 0.000, 0.500) and Pb at (0.000, 0.500, 0.750).



11.
Entry from the Alexandria database: crystalline ScTcNi2Pb at its relaxed geometry (PBE).

Its total energy is -5.0483 eV/atom. As for the energy of formation from the pure elements: 129.81 kJ per mole of atoms. Its volume is 105.8 Å³/cell.

It has space group P4/mmm (No. 123), with a = 4.410 Å, b = 4.410 Å, c = 5.443 Å, α = 90.00°, β = 90.00° and γ = 90.00°. The inequivalent atoms are Sc at (0.000, 0.000, 0.000), Tc at (0.500, 0.500, 0.500), Ni at (0.000, 0.500, 0.000) and Pb at (0.000, 0.000, 0.500).



12.
Entry from the Alexandria database: crystalline ScTiNiPb2 at its relaxed geometry (PBE).

Its total energy is -4.6043 eV/atom. As for the energy of formation from the pure elements: 84.96 kJ per mole of atoms. Its volume is 131.0 Å³/cell.

It has space group P4/mmm (No. 123), with a = 5.468 Å, b = 5.468 Å, c = 4.380 Å, α = 90.00°, β = 90.00° and γ = 90.00°. The inequivalent atoms are Sc at (0.000, 0.000, 0.000), Ti at (0.500, 0.500, 0.500), Ni at (0.000, 0.000, 0.500) and Pb at (0.000, 0.500, 0.000).



13.
Entry from the Alexandria database: crystalline TmScNiPb at its relaxed geometry (PBE).

Its total energy is -5.3673 eV/atom. As for the energy of formation from the pure elements: -28.38 kJ per mole of atoms. Its volume is 347.5 Å³/cell.

It has space group F-43m (No. 216), with a = 7.031 Å, b = 7.031 Å, c = 7.031 Å, α = 90.00°, β = 90.00° and γ = 90.00°. The inequivalent atoms are Tm at (0.000, 0.000, 0.000), Sc at (0.000, 0.000, 0.500), Ni at (0.250, 0.250, 0.750) and Pb at (0.250, 0.250, 0.250).



14.
Entry from the Alexandria database: crystalline Y2ScNiPb at its relaxed geometry (PBE).

Its total energy is -6.0338 eV/atom. As for the energy of formation from the pure elements: -27.40 kJ per mole of atoms. Its volume is 133.7 Å³/cell.

It has space group P4/mmm (No. 123), with a = 5.229 Å, b = 5.229 Å, c = 4.889 Å, α = 90.00°, β = 90.00° and γ = 90.00°. The inequivalent atoms are Y at (0.000, 0.500, 0.000), Sc at (0.000, 0.000, 0.500), Ni at (0.000, 0.000, 0.000) and Pb at (0.500, 0.500, 0.500).



15.
Entry from the Alexandria database: crystalline Ni2PbSe at its relaxed geometry (PBE).

For the formation energy without anion corrections, the calculation gives 0.531 eV per atom. The excess energy over the best structure of this formula in the dataset is 566 meV per atom. Its total energy is -4.1584 eV/atom. Its volume is 282.6 Å³/cell.

It has space group F-43m (No. 216), with a = 6.562 Å, b = 6.562 Å, c = 6.562 Å, α = 90.00°, β = 90.00° and γ = 90.00°. The inequivalent atoms are Ni at (0.000, 0.000, 0.000), Ni at (0.250, 0.250, 0.250), Pb at (0.000, 0.000, 0.500) and Se at (0.250, 0.250, 0.750).